Record 1
VASP calculation (PBE) on AcTmMg after structural relaxation.

POSCAR file:
```
AcTmMg
1.0
3.902 0.000 0.000
0.000 3.902 0.000
-1.951 -1.951 6.483
Ac Tm Mg
1 1 1
Direct
0.005 0.005 0.009
0.314 0.314 0.628
0.681 0.681 0.363
```

Summary:
* E above lowest polymorph: 0.000 eV/atom
* density: 7.07 g/cm3
* size of the total moment: 0.001 μB/atom
* density of states at the Fermi level: 4.246 states/eV/cell
* final energy: -3.391 eV per atom

Record 2
VASP calculation (PBE) on AcTmMg17 after structural relaxation.

POSCAR file:
```
AcTmMg17
1.0
-6.763 -3.774 -1.252
-2.052 -1.002 7.506
-4.787 6.185 0.618
Mg Tm Ac
17 1 1
Direct
0.696 0.299 0.004
0.994 0.994 0.505
0.643 0.643 0.172
0.172 0.643 0.643
0.855 0.347 0.347
0.505 0.994 0.994
0.004 0.299 0.696
0.696 0.004 0.299
0.101 0.101 0.101
0.905 0.905 0.905
0.299 0.696 0.004
0.299 0.004 0.696
0.643 0.172 0.643
0.004 0.696 0.299
0.994 0.505 0.994
0.347 0.855 0.347
0.347 0.347 0.855
0.328 0.328 0.328
0.666 0.666 0.666
```

Summary:
* density: 2.85 g/cm3
* size of the total moment: 0.000 μB/atom
* density of states at the Fermi level: 9.038 states/eV/cell
* final energy: -1.913 eV per atom

Record 3
VASP calculation (PBE) on Ac2TmMg5 after structural relaxation.

POSCAR file:
```
Ac2TmMg5
1.0
-2.919 2.559 3.758
2.071 -3.228 3.806
6.520 5.601 -2.633
Ac Tm Mg
2 1 5
Direct
0.257 0.257 0.515
0.743 0.743 0.485
0.000 0.000 0.000
0.395 0.895 0.790
0.605 0.105 0.210
0.895 0.395 0.790
0.105 0.605 0.210
0.500 0.500 0.000
```

Summary:
* density: 5.20 g/cm3
* size of the total moment: 0.000 μB/atom
* density of states at the Fermi level: 8.797 states/eV/cell
* final energy: -2.613 eV per atom

Record 4
VASP calculation (PBE) on AcTm5Mg6 after structural relaxation.

POSCAR file:
```
AcTm5Mg6
1.0
5.105 -0.030 1.701
0.040 7.633 0.013
-0.005 -0.015 8.525
Ac Tm Mg
1 5 6
Direct
0.000 0.000 0.000
0.669 0.000 0.661
0.000 0.500 0.000
0.331 0.000 0.339
0.663 0.500 0.673
0.337 0.500 0.327
0.828 0.740 0.344
0.500 0.263 0.000
0.172 0.260 0.656
0.828 0.260 0.344
0.172 0.740 0.656
0.500 0.737 0.000
```

Summary:
* density: 6.08 g/cm3
* size of the total moment: 0.000 μB/atom
* density of states at the Fermi level: 14.197 states/eV/cell
* final energy: -3.046 eV per atom

Record 5
VASP calculation (PBE) on Ac4TmMg5 after structural relaxation.

POSCAR file:
```
Ac4TmMg5
1.0
4.040 0.000 0.000
0.000 4.040 0.000
0.000 0.000 20.268
Mg Ac Tm
5 4 1
Direct
0.500 0.500 0.293
0.500 0.500 0.082
0.500 0.500 0.707
0.500 0.500 0.918
0.500 0.500 0.500
0.000 0.000 0.811
0.000 0.000 0.396
0.000 0.000 0.189
0.000 0.000 0.604
0.000 0.000 0.000
```

Summary:
* density: 6.02 g/cm3
* size of the total moment: 0.000 μB/atom
* density of states at the Fermi level: 11.312 states/eV/cell
* final energy: -2.952 eV per atom

Record 6
VASP calculation (PBE) on Ac2TmMg6 after structural relaxation.

POSCAR file:
```
Ac2TmMg6
1.0
3.560 0.000 0.001
0.001 8.051 4.631
-0.001 0.017 9.288
Mg Tm Ac
6 1 2
Direct
0.500 0.322 0.678
0.500 0.678 0.322
0.500 0.000 0.322
0.500 0.322 0.000
0.500 0.000 0.678
0.500 0.678 0.000
0.000 0.000 0.000
0.000 0.333 0.333
0.000 0.667 0.667
```

Summary:
* density: 4.80 g/cm3
* size of the total moment: 0.000 μB/atom
* density of states at the Fermi level: 10.082 states/eV/cell
* final energy: -2.511 eV per atom

Record 7
VASP calculation (PBE) on AcTm2Mg after structural relaxation.

POSCAR file:
```
AcTm2Mg
1.0
-2.958 0.126 -1.905
-2.156 -2.782 -0.091
-7.775 3.503 9.049
Mg Tm Ac
1 2 1
Direct
0.500 0.500 0.500
0.096 0.096 0.712
0.904 0.904 0.288
0.000 0.000 0.000
```

Summary:
* E above lowest polymorph: 0.228 eV/atom
* density: 7.43 g/cm3
* size of the total moment: 0.000 μB/atom
* density of states at the Fermi level: 5.588 states/eV/cell
* final energy: -3.417 eV per atom

Record 8
VASP calculation (PBE) on AcTm3Mg4 after structural relaxation.

POSCAR file:
```
AcTm3Mg4
1.0
5.432 0.000 0.000
0.000 7.702 0.000
0.000 0.000 10.865
Tm Mg Ac
6 8 2
Direct
0.500 0.000 0.250
0.500 0.500 0.250
0.000 0.000 0.500
0.500 0.000 0.750
0.000 0.000 0.000
0.500 0.500 0.750
0.000 0.232 0.750
0.500 0.232 0.000
0.000 0.768 0.750
0.500 0.232 0.500
0.000 0.232 0.250
0.000 0.768 0.250
0.500 0.768 0.000
0.500 0.768 0.500
0.000 0.500 0.000
0.000 0.500 0.500
```

Summary:
* density: 6.07 g/cm3
* size of the total moment: 0.000 μB/atom
* density of states at the Fermi level: 16.885 states/eV/cell
* final energy: -3.027 eV per atom